Record 1
Compound: KZnAgSb
Source: the Alexandria database
Functional: PBE
Structure: optimized geometry

abc: 4.143 4.143 13.478
angles: 90.00 90.00 90.00
Fractional positions:
Zn1 0.250 0.750 0.000
Ag1 0.250 0.750 0.500
Sb1 0.750 0.750 0.868
K1 0.750 0.750 0.282
K2 0.250 0.250 0.718
Ag2 0.750 0.250 0.500
Sb2 0.250 0.250 0.132
Zn2 0.750 0.250 0.000

Calculated values
ΔE_f (raw) ... -12.3 kJ per mole of atoms
D(E_F) ... 1.04 states/eV/f.u.

---

Record 2
Compound: K2ScAg
Source: the Alexandria database
Functional: PBE
Structure: optimized geometry

abc: 12.446 12.446 12.446
angles: 16.50 16.50 16.50
Fractional positions:
K1 0.009 0.009 0.009
Ag1 0.750 0.750 0.750
Sc1 0.250 0.250 0.250
K2 0.491 0.491 0.491

Calculated values
D(E_F) ... 3.72 states/eV/f.u.
Calculated formation energy ... 489.4 meV per atom

---

Record 3
Compound: K2ScAg
Source: the Alexandria database
Functional: PBE
Structure: optimized geometry

abc: 3.620 5.610 6.860
angles: 90.00 90.00 90.00
Fractional positions:
Ag1 0.500 0.500 0.750
Sc1 0.500 0.500 0.250
K1 0.000 0.000 0.982
K2 0.000 0.000 0.518

Calculated values
D(E_F) ... 4.86 states/eV/f.u.
Calculated formation energy ... 545.9 meV per atom